Entry from Alexandria via LeMat-Bulk: a relaxed structure of Er8CuPd2 (PBE).

Values from the calculation:
The size of the total moment comes out at 0.00 μB per cell. As for the formation energy: -8.4 kcal/mol of atoms. The calculated density is 9.535 g cm⁻³.

Cell and atoms, written as POSCAR:
```
Er8CuPd2
1.0
8.6582 -2.5107 0.0000
8.6582 2.5107 0.0000
-1.7366 0.0000 6.4667
Er Cu Pd
8 1 2
Cartesian
0.0665 0.0000 1.8168
2.0798 0.0000 5.3300
4.8703 0.0000 3.3761
7.0024 0.0000 0.2849
8.5775 0.0000 6.1818
10.7096 0.0000 3.0906
13.5001 0.0000 1.1367
15.5133 0.0000 4.6499
7.7899 0.0000 3.2334
2.8524 0.0000 1.4792
12.7275 0.0000 4.9875
```

***

Entry from Alexandria via LeMat-Bulk: a relaxed structure of ErCuPd5 (PBE).

Values from the calculation:
The size of the total moment comes out at 0.00 μB per cell. For the energy relative to the lowest polymorph listed for this composition, the calculation gives 157 meV per atom. As for the formation energy: -5.8 kcal/mol of atoms. The calculated density is 10.068 g cm⁻³.

Cell and atoms, written as POSCAR:
```
ErCuPd5
1.0
6.8176 -2.7921 0.0000
6.8176 2.7921 0.0000
-5.0909 0.0000 6.6100
Er Cu Pd
2 2 10
Cartesian
2.9994 2.7610 4.9575
5.5448 -2.7610 1.6525
0.8633 1.3961 3.3050
3.4088 -1.3961 0.0000
0.5659 1.3675 5.8419
3.2420 1.3620 2.3845
7.8476 1.3620 0.9205
5.4328 1.3675 4.0732
2.9994 0.0444 4.9575
5.5448 -0.0444 1.6525
3.1113 -1.3675 2.5368
0.6965 -1.3620 5.6896
5.3022 -1.3620 4.2255
7.9783 -1.3675 0.7682
```

***

Entry from Alexandria via LeMat-Bulk: a relaxed structure of ErCuPd5 (PBE).

Values from the calculation:
The size of the total moment comes out at 0.00 μB per cell. For the energy relative to the lowest polymorph listed for this composition, the calculation gives 0 meV per atom. As for the formation energy: -9.4 kcal/mol of atoms. The calculated density is 10.559 g cm⁻³.

Cell and atoms, written as POSCAR:
```
ErCuPd5
1.0
4.2985 0.0000 0.0000
0.0000 4.2985 0.0000
0.0000 0.0000 6.4934
Er Cu Pd
1 1 5
Cartesian
0.0000 0.0000 0.0000
2.1492 2.1492 3.2467
0.0000 2.1492 1.8533
0.0000 2.1492 4.6402
2.1492 0.0000 1.8533
2.1492 0.0000 4.6402
2.1492 2.1492 0.0000
```

***

Entry from Alexandria via LeMat-Bulk: a relaxed structure of Er3Cu3Pd (PBE).

Values from the calculation:
The size of the total moment comes out at 0.00 μB per cell. As for the formation energy: -9.8 kcal/mol of atoms. The calculated density is 9.559 g cm⁻³.

Cell and atoms, written as POSCAR:
```
Er3Cu3Pd
1.0
1.9399 -5.0379 0.0000
1.9399 5.0379 0.0000
0.0000 0.0000 14.1985
Er Cu Pd
6 6 2
Cartesian
1.9399 4.5541 10.6489
1.9399 1.7184 8.4472
1.9399 1.7184 12.8505
1.9399 -1.7184 1.3480
1.9399 -1.7184 5.7513
1.9399 -4.5541 3.5496
1.9399 2.6103 3.5496
1.9399 1.1514 1.4846
1.9399 1.1514 5.6147
1.9399 -1.1514 8.5838
1.9399 -1.1514 12.7139
1.9399 -2.6103 10.6489
0.0000 0.0000 0.0000
0.0000 0.0000 7.0993
```

***

Entry from Alexandria via LeMat-Bulk: a relaxed structure of Er3Cu2Pd (PBE).

Values from the calculation:
The size of the total moment comes out at 0.00 μB per cell. For the energy relative to the lowest polymorph listed for this composition, the calculation gives 3 meV per atom. As for the formation energy: -11.3 kcal/mol of atoms. The calculated density is 9.870 g cm⁻³.

Cell and atoms, written as POSCAR:
```
Er3Cu2Pd
1.0
3.4377 0.0000 0.0000
0.0000 3.4377 0.0000
0.0000 0.0000 10.4682
Er Cu Pd
3 2 1
Cartesian
0.0000 0.0000 0.0000
0.0000 0.0000 3.4757
0.0000 0.0000 6.9925
1.7189 1.7189 1.7243
1.7189 1.7189 8.7439
1.7189 1.7189 5.2341
```

***

Entry from Alexandria via LeMat-Bulk: a relaxed structure of Er2Cu3Pd8 (PBE).

Values from the calculation:
The size of the total moment comes out at 0.00 μB per cell. As for the formation energy: -8.6 kcal/mol of atoms. The calculated density is 10.430 g cm⁻³.

Cell and atoms, written as POSCAR:
```
Er2Cu3Pd8
1.0
6.7596 -3.1859 0.0000
6.7596 3.1859 0.0000
-0.9093 0.0000 5.0883
Er Cu Pd
2 3 8
Cartesian
2.4582 0.0000 0.7081
10.1516 0.0000 4.3802
6.7596 1.1350 0.0000
6.3049 0.0000 2.5442
6.7596 -1.1350 0.0000
-0.1972 0.0000 1.3232
4.3567 1.6721 1.9313
3.7339 0.0000 4.0942
8.2531 1.6721 3.1570
4.3567 -1.6721 1.9313
8.8758 0.0000 0.9941
8.2531 -1.6721 3.1570
12.8069 0.0000 3.7652
```

***

Entry from Alexandria via LeMat-Bulk: a relaxed structure of ErCu3Pd4 (PBE).

Values from the calculation:
The size of the total moment comes out at 0.00 μB per cell. As for the formation energy: -10.0 kcal/mol of atoms. The calculated density is 10.644 g cm⁻³.

Cell and atoms, written as POSCAR:
```
ErCu3Pd4
1.0
4.1794 0.0000 0.0000
0.0000 4.1794 0.0000
0.0000 0.0000 6.9985
Er Cu Pd
1 3 4
Cartesian
0.0000 0.0000 0.0000
0.0000 0.0000 3.4993
2.0897 2.0897 0.0000
2.0897 2.0897 3.4993
0.0000 2.0897 1.8890
0.0000 2.0897 5.1095
2.0897 0.0000 1.8890
2.0897 0.0000 5.1095
```

***

Entry from Alexandria via LeMat-Bulk: a relaxed structure of Er2CuPd6 (PBE).

Values from the calculation:
The size of the total moment comes out at 0.00 μB per cell. As for the formation energy: -9.5 kcal/mol of atoms. The calculated density is 10.029 g cm⁻³.

Cell and atoms, written as POSCAR:
```
Er2CuPd6
1.0
-1.7111 3.8204 6.5641
1.7111 -3.8204 6.5641
1.7111 3.8204 -6.5641
Er Cu Pd
2 1 6
Cartesian
0.0000 0.0000 1.9857
0.0000 0.0000 11.1424
0.0000 0.0000 6.5641
1.7111 2.2581 -2.1811
0.0000 1.9499 0.0000
1.7111 2.2581 2.1811
0.0000 1.5623 4.3830
0.0000 5.6910 0.0000
0.0000 1.5623 8.7452
```

***

Entry from Alexandria via LeMat-Bulk: a relaxed structure of Er3CuPd3 (PBE).

Values from the calculation:
The size of the total moment comes out at 0.00 μB per cell. As for the formation energy: -17.5 kcal/mol of atoms. The calculated density is 9.984 g cm⁻³.

Cell and atoms, written as POSCAR:
```
Er3CuPd3
1.0
-1.8638 2.1050 9.3749
1.8638 -2.1050 9.3749
1.8638 2.1050 -9.3749
Er Cu Pd
3 1 3
Cartesian
0.0000 0.0000 0.0000
0.0000 0.0000 6.9923
0.0000 2.1050 3.4474
1.8638 0.0000 4.7679
1.8638 0.0000 2.2978
0.0000 0.0000 9.8992
0.0000 0.0000 15.6683
```

***

Entry from Alexandria via LeMat-Bulk: a relaxed structure of Er2CuPd2 (PBE).

Values from the calculation:
The size of the total moment comes out at 0.00 μB per cell. As for the formation energy: -16.8 kcal/mol of atoms. The calculated density is 10.170 g cm⁻³.

Cell and atoms, written as POSCAR:
```
Er2CuPd2
1.0
5.1043 -1.9030 0.0000
5.1043 1.9030 0.0000
-4.0478 0.0000 10.2691
Er Cu Pd
4 2 4
Cartesian
-0.6044 0.0000 1.6600
-0.6243 0.0000 6.2505
6.7851 0.0000 4.0186
6.7652 0.0000 8.6090
2.3367 0.0000 1.8846
3.8242 0.0000 8.3845
-0.3329 0.0000 9.8110
2.2121 0.0000 6.2881
3.9488 0.0000 3.9810
6.4937 0.0000 0.4580
```

***

Entry from Alexandria via LeMat-Bulk: a relaxed structure of ErCu2Pd8 (PBE).

Values from the calculation:
The size of the total moment comes out at 0.00 μB per cell. For the energy relative to the lowest polymorph listed for this composition, the calculation gives 126 meV per atom. As for the formation energy: -5.2 kcal/mol of atoms. The calculated density is 10.555 g cm⁻³.

Cell and atoms, written as POSCAR:
```
ErCu2Pd8
1.0
6.6222 -2.6765 0.0000
6.6222 2.6765 0.0000
-0.9615 0.0000 5.0845
Er Cu Pd
1 2 8
Cartesian
0.0000 0.0000 0.0000
2.7276 0.0000 2.6011
9.5554 0.0000 2.4835
5.0017 1.3076 1.8079
3.0300 0.0000 0.1353
7.2813 1.3076 3.2766
4.6381 0.0000 4.2575
7.6449 0.0000 0.8271
5.0017 -1.3076 1.8079
9.2529 0.0000 4.9493
7.2813 -1.3076 3.2766
```

***

Entry from Alexandria via LeMat-Bulk: a relaxed structure of Er5Cu2Pd (PBE).

Values from the calculation:
The size of the total moment comes out at 0.00 μB per cell. As for the formation energy: -8.2 kcal/mol of atoms. The calculated density is 9.457 g cm⁻³.

Cell and atoms, written as POSCAR:
```
Er5Cu2Pd
1.0
-3.5152 3.5152 7.6008
3.5152 -3.5152 7.6008
3.5152 3.5152 -7.6008
Er Cu Pd
10 4 2
Cartesian
0.0000 0.0000 0.0000
4.7194 1.2041 -2.2659
1.2041 2.3111 -2.2659
4.7194 1.2041 2.2659
1.2041 2.3111 2.2659
0.0000 0.0000 7.6008
2.3111 1.2041 5.3349
-1.2041 2.3111 5.3349
2.3111 1.2041 9.8667
-1.2041 2.3111 9.8667
2.6452 0.8701 0.0000
2.6452 -0.8701 7.6008
0.8701 4.3853 0.0000
0.8701 2.6452 7.6008
0.0000 0.0000 3.8004
0.0000 0.0000 11.4012
```